# BaSc2Se, relaxed, DFT PBEsol
# total magnetization = 0.000 μB/atom
# total DFT energy (no corrections) = -5.3870 eV per atom
# energy relative to the elements, uncorrected = -0.58 eV per atom
data_BaSc2Se
_chemical_formula_sum 'Ba2 Sc4 Se2'
_cell_length_a 11.592
_cell_length_b 3.539
_cell_length_c 6.320
_cell_angle_alpha 90.00
_cell_angle_beta 120.66
_cell_angle_gamma 90.00
_space_group_name_H-M_alt 'C 1 m 1'
_space_group_IT_number 8
_space_group_name_Hall 'C -2y'
loop_
_atom_site_label
_atom_site_fract_x
_atom_site_fract_y
_atom_site_fract_z
Ba1 0.000 0.000 0.000
Sc1 0.158 0.000 0.694
Sc2 0.374 0.000 0.372
Se1 0.230 0.500 0.466

# TaZnRu, relaxed, DFT PBEsol
# total magnetization = 0.000 μB/atom
# formation energy = 0.0503 eV/atom
# total DFT energy (no corrections) = -8.0515 eV per atom
# ΔE to the lowest computed polymorph = 205 meV per atom
data_TaZnRu
_chemical_formula_sum 'Ta1 Zn1 Ru1'
_cell_length_a 2.8442
_cell_length_b 2.8442
_cell_length_c 6.4899
_cell_angle_alpha 90.00
_cell_angle_beta 90.00
_cell_angle_gamma 120.00
_space_group_name_H-M_alt 'P 3 m 1'
_space_group_IT_number 156
_space_group_name_Hall 'P 3 -2"'
loop_
_atom_site_label
_atom_site_fract_x
_atom_site_fract_y
_atom_site_fract_z
Ta1 0.0000 0.0000 0.0000
Zn1 0.3333 0.6667 0.6436
Ru1 0.6667 0.3333 0.3239

# Ca2FeHg, relaxed, DFT PBEsol
# total magnetization = 0.584 μB/atom
# formation energy = 0.1534 eV/atom
# total DFT energy (no corrections) = -3.2958 eV per atom
data_Ca2FeHg
_chemical_formula_sum 'Ca2 Fe1 Hg1'
_cell_length_a 3.497
_cell_length_b 3.497
_cell_length_c 8.201
_cell_angle_alpha 90.00
_cell_angle_beta 90.00
_cell_angle_gamma 90.00
_space_group_name_H-M_alt 'P 4 m m'
_space_group_IT_number 99
_space_group_name_Hall 'P 4 -2'
loop_
_atom_site_label
_atom_site_fract_x
_atom_site_fract_y
_atom_site_fract_z
Ca1 0.000 0.000 0.000
Ca2 0.500 0.500 0.384
Fe1 0.000 0.000 0.614
Hg1 0.500 0.500 0.761

# RbTlCl3, relaxed, DFT PBEsol
# total magnetization = 0.000 μB/atom
# total DFT energy (no corrections) = -3.1771 eV per atom
# energy relative to the elements, uncorrected = -1.24 eV per atom
data_RbTlCl3
_chemical_formula_sum 'Rb8 Tl8 Cl24'
_cell_length_a 10.965
_cell_length_b 10.965
_cell_length_c 10.965
_cell_angle_alpha 90.00
_cell_angle_beta 90.00
_cell_angle_gamma 90.00
_space_group_name_H-M_alt 'F m -3 m'
_space_group_IT_number 225
_space_group_name_Hall '-F 4 2 3'
loop_
_atom_site_label
_atom_site_fract_x
_atom_site_fract_y
_atom_site_fract_z
Rb1 0.250 0.250 0.250
Tl1 0.000 0.000 0.000
Tl2 0.000 0.000 0.500
Cl1 0.000 0.000 0.237

# CdInSb2, relaxed, DFT PBEsol
# total magnetization = 0.000 μB/atom
# total DFT energy (no corrections) = -3.2140 eV per atom
# energy relative to the elements, uncorrected = 0.11 eV per atom
data_CdInSb2
_chemical_formula_sum 'Cd1 In1 Sb2'
_cell_length_a 3.915
_cell_length_b 5.036
_cell_length_c 5.133
_cell_angle_alpha 90.00
_cell_angle_beta 90.00
_cell_angle_gamma 90.00
_space_group_name_H-M_alt 'P m m m'
_space_group_IT_number 47
_space_group_name_Hall '-P 2 2'
loop_
_atom_site_label
_atom_site_fract_x
_atom_site_fract_y
_atom_site_fract_z
Cd1 0.000 0.000 0.000
In1 0.500 0.500 0.000
Sb1 0.000 0.500 0.500
Sb2 0.500 0.000 0.500

# Co3Mo, relaxed, DFT PBEsol
# total magnetization = 0.176 μB/atom
# formation energy = -0.1058 eV/atom
# total DFT energy (no corrections) = -8.8506 eV per atom
data_Co3Mo
_chemical_formula_sum 'Co6 Mo2'
_cell_length_a 5.0319
_cell_length_b 5.0319
_cell_length_c 4.0233
_cell_angle_alpha 90.00
_cell_angle_beta 90.00
_cell_angle_gamma 120.00
_space_group_name_H-M_alt 'P 63/m m c'
_space_group_IT_number 194
_space_group_name_Hall '-P 6c 2c'
loop_
_atom_site_label
_atom_site_fract_x
_atom_site_fract_y
_atom_site_fract_z
Co1 0.1618 0.3236 0.2500
Mo1 0.3333 0.6667 0.7500

# LiAsPt2N, relaxed, DFT PBEsol
# total magnetization = 0.136 μB/atom
# total DFT energy (no corrections) = -5.1678 eV per atom
# energy relative to the elements, uncorrected = 0.74 eV per atom
data_LiAsPt2N
_chemical_formula_sum 'Li1 As1 Pt2 N1'
_cell_length_a 4.673
_cell_length_b 4.673
_cell_length_c 3.859
_cell_angle_alpha 90.00
_cell_angle_beta 90.00
_cell_angle_gamma 90.00
_space_group_name_H-M_alt 'P 4/m m m'
_space_group_IT_number 123
_space_group_name_Hall '-P 4 2'
loop_
_atom_site_label
_atom_site_fract_x
_atom_site_fract_y
_atom_site_fract_z
Li1 0.000 0.000 0.000
As1 0.500 0.500 0.500
Pt1 0.000 0.500 0.500
N1 0.500 0.500 0.000

# CdCoTc2, relaxed, DFT PBEsol
# total magnetization = 0.159 μB/atom
# formation energy = 0.4747 eV/atom
# total DFT energy (no corrections) = -7.3920 eV per atom
data_CdCoTc2
_chemical_formula_sum 'Cd1 Co1 Tc2'
_cell_length_a 3.648
_cell_length_b 3.648
_cell_length_c 4.222
_cell_angle_alpha 90.00
_cell_angle_beta 90.00
_cell_angle_gamma 90.00
_space_group_name_H-M_alt 'P 4/m m m'
_space_group_IT_number 123
_space_group_name_Hall '-P 4 2'
loop_
_atom_site_label
_atom_site_fract_x
_atom_site_fract_y
_atom_site_fract_z
Cd1 0.000 0.000 0.000
Co1 0.500 0.500 0.000
Tc1 0.000 0.500 0.500

# Sn3AsAu, relaxed, DFT PBEsol
# total magnetization = 0.000 μB/atom
# formation energy = 0.6898 eV/atom
# total DFT energy (no corrections) = -3.6718 eV per atom
data_Sn3AsAu
_chemical_formula_sum 'Sn3 As1 Au1'
_cell_length_a 5.195
_cell_length_b 5.195
_cell_length_c 5.195
_cell_angle_alpha 90.00
_cell_angle_beta 90.00
_cell_angle_gamma 90.00
_space_group_name_H-M_alt 'P m -3 m'
_space_group_IT_number 221
_space_group_name_Hall '-P 4 2 3'
loop_
_atom_site_label
_atom_site_fract_x
_atom_site_fract_y
_atom_site_fract_z
Sn1 0.000 0.000 0.500
As1 0.000 0.000 0.000
Au1 0.500 0.500 0.500

# Ho3ReO7, relaxed, DFT PBEsol
# total magnetization = 0.182 μB/atom
# total DFT energy (no corrections) = -8.8774 eV per atom
# ΔE to the lowest computed polymorph = 0 meV per atom
# energy relative to the elements, uncorrected = -2.97 eV per atom
data_Ho3ReO7
_chemical_formula_sum 'Ho12 Re4 O28'
_cell_length_a 7.394
_cell_length_b 10.346
_cell_length_c 7.311
_cell_angle_alpha 90.00
_cell_angle_beta 90.00
_cell_angle_gamma 90.00
_space_group_name_H-M_alt 'C 2 2 21'
_space_group_IT_number 20
_space_group_name_Hall 'C 2c 2'
loop_
_atom_site_label
_atom_site_fract_x
_atom_site_fract_y
_atom_site_fract_z
Ho1 0.028 0.000 0.000
Ho2 0.232 0.268 0.756
Re1 0.001 0.500 0.000
O1 0.000 0.131 0.250
O2 0.000 0.137 0.750
O3 0.000 0.427 0.750
O4 0.187 0.373 0.037
O5 0.205 0.377 0.475

# CoMo2OsCl, relaxed, DFT PBEsol
# total magnetization = 0.001 μB/atom
# total DFT energy (no corrections) = -7.3861 eV per atom
# energy relative to the elements, uncorrected = 1.71 eV per atom
data_CoMo2OsCl
_chemical_formula_sum 'Co1 Mo2 Os1 Cl1'
_cell_length_a 4.540
_cell_length_b 4.540
_cell_length_c 3.858
_cell_angle_alpha 90.00
_cell_angle_beta 90.00
_cell_angle_gamma 90.00
_space_group_name_H-M_alt 'P 4/m m m'
_space_group_IT_number 123
_space_group_name_Hall '-P 4 2'
loop_
_atom_site_label
_atom_site_fract_x
_atom_site_fract_y
_atom_site_fract_z
Co1 0.000 0.000 0.000
Mo1 0.000 0.500 0.000
Os1 0.500 0.500 0.500
Cl1 0.000 0.000 0.500

# SrScCl2, relaxed, DFT PBEsol
# total magnetization = 0.000 μB/atom
# total DFT energy (no corrections) = -4.3366 eV per atom
# ΔE to the lowest computed polymorph = 61 meV per atom
# energy relative to the elements, uncorrected = -1.22 eV per atom
data_SrScCl2
_chemical_formula_sum 'Sr2 Sc2 Cl4'
_cell_length_a 3.458
_cell_length_b 6.770
_cell_length_c 8.720
_cell_angle_alpha 90.00
_cell_angle_beta 90.00
_cell_angle_gamma 90.00
_space_group_name_H-M_alt 'C m m m'
_space_group_IT_number 65
_space_group_name_Hall '-C 2 2'
loop_
_atom_site_label
_atom_site_fract_x
_atom_site_fract_y
_atom_site_fract_z
Sr1 0.000 0.000 0.000
Sc1 0.000 0.000 0.500
Cl1 0.000 0.500 0.276

Question: Which of these has the highest total DFT energy (no corrections)?
Answer: RbTlCl3

Question: total DFT energy (no corrections) of number 5 (CdInSb2)?
Answer: -3.2140 eV per atom

Question: The highest total magnetization belongs to which entry?
Answer: Ca2FeHg

Question: Among the records above, which one has the highest total DFT energy (no corrections)?
Answer: RbTlCl3